Ca4AlNi: optimized geometry, PBE.

Cell: 6.3445 6.3445 6.3445 Å, 60.00 60.00 60.00°
Closest atoms and distances in Å follow each position.
Element x y z (fractional)
Ca  0.8743  0.3752  0.3752  6 Ca 3.17-3.18
Ca  0.3752  0.3752  0.8743  6 Ca 3.17-3.18
Ca  0.3752  0.8743  0.3752  6 Ca 3.17-3.18
Ca  0.3752  0.3752  0.3752  6 Ca 3.17-3.18
Al  0.0000  0.0000  0.0000  12 Ca 3.72, 4 Ni 3.89
Ni  0.7500  0.7500  0.7500  12 Ca 3.72, 4 Al 3.89

Output
The density of states at the Fermi level comes out at 5.06 states/eV/cell. Its total energy is -13.29 eV/f.u. The formation energy is 0.7069 eV/atom.

Na2NdTl: optimized geometry, PBE.

Cell: 3.4755 3.4755 12.7401 Å, 82.16 82.16 60.00°
Closest atoms and distances in Å follow each position.
Element x y z (fractional)
Na  0.0916  0.0916  0.7252  1 Nd 3.46, 3 Tl 3.47, 6 Na 3.48
Na  0.9084  0.9084  0.2748  1 Nd 3.46, 3 Tl 3.47, 6 Na 3.48
Tl  0.5000  0.5000  0.5000  6 Na 3.47, 6 Tl 3.48
Nd  0.0000  0.0000  0.0000  2 Na 3.46, 6 Nd 3.48

Output
The density of states at the Fermi level comes out at 2.87 states/eV/cell. Its total energy is -9.28 eV/f.u. The formation energy is 0.1241 eV/atom.

CeYGa2: optimized geometry, PBE.

Cell: 3.4081 3.4081 7.9781 Å, 90.00 90.00 90.00°
Closest atoms and distances in Å follow each position.
Element x y z (fractional)
Y  0.5000  0.5000  0.5000  8 Ga 3.10, 4 Y 3.41
Ga  0.0000  0.0000  0.7440  4 Y 3.10, 4 Ce 3.16, 4 Ga 3.41
Ga  0.0000  0.0000  0.2560  4 Y 3.10, 4 Ce 3.16, 4 Ga 3.41
Ce  0.5000  0.5000  0.0000  8 Ga 3.16, 4 Ce 3.41

Output
The density of states at the Fermi level comes out at 4.68 states/eV/cell. Its total energy is -20.62 eV/f.u. The formation energy is -0.5416 eV/atom.

Ac2Cd3Pb2: optimized geometry, PBE.

Cell: 5.1210 6.4624 7.4551 Å, 107.77 90.00 113.34°
Closest atoms and distances in Å follow each position.
Element x y z (fractional)
Ac  0.8534  0.7068  0.2369  5 Pb 3.49-3.87, 7 Cd 3.53-3.84
Ac  0.1466  0.2932  0.7631  5 Pb 3.49-3.87, 7 Cd 3.53-3.84
Cd  0.5000  0.0000  0.0000  2 Cd 2.95
Cd  0.5917  0.1834  0.4197  2 Cd 2.81-2.95, 2 Pb 3.07
Cd  0.4083  0.8166  0.5803  2 Cd 2.81-2.95, 2 Pb 3.07
Pb  0.8445  0.6890  0.7516  5 Cd 3.07-3.33
Pb  0.1555  0.3110  0.2484  5 Cd 3.07-3.33

Output
The energy above the most stable polymorph in this dataset is 0 meV per atom. The density of states at the Fermi level comes out at 3.49 states/eV/cell. Its total energy is -20.91 eV/f.u. The formation energy is -0.3611 eV/atom.

CsKBi4: optimized geometry, PBE.

Cell: 6.8995 6.8995 6.8995 Å, 60.00 60.00 60.00°
Closest atoms and distances in Å follow each position.
Element x y z (fractional)
Cs  0.0000  0.0000  0.0000  12 Bi 4.05, 4 K 4.23
K  0.2500  0.2500  0.2500  12 Bi 4.04, 4 Cs 4.23
Bi  0.6249  0.6249  0.1254  6 Bi 3.45
Bi  0.6249  0.1254  0.6249  6 Bi 3.45
Bi  0.6249  0.6249  0.6249  6 Bi 3.45
Bi  0.1254  0.6249  0.6249  6 Bi 3.45

Output
The density of states at the Fermi level comes out at 7.61 states/eV/cell. Its total energy is -18.97 eV/f.u. The formation energy is -0.2498 eV/atom.

PuV2Os: optimized geometry, PBE.

Cell: 2.9701 2.9701 7.3023 Å, 90.00 90.00 90.00°
Closest atoms and distances in Å follow each position.
Element x y z (fractional)
V  0.0000  0.0000  0.7117  4 Os 2.61
V  0.0000  0.0000  0.2883  4 Os 2.61
Os  0.5000  0.5000  0.5000  8 V 2.61
Pu  0.5000  0.5000  0.0000  4 Pu 2.97, 8 V 2.97

Output
The energy above the most stable polymorph in this dataset is 0 meV per atom. The density of states at the Fermi level comes out at 6.61 states/eV/cell. Its total energy is -43.68 eV/f.u. The formation energy is 0.0308 eV/atom.